(1)
SrSb2Au | GGA-PBE | optimized geometry

CIF file:
```
data_SrSb2Au
_space_group_name_H-M_alt 'P 1'
_space_group_IT_number 1
_space_group_name_Hall 'P 1'
_cell_length_a 4.029
_cell_length_b 4.029
_cell_length_c 7.697
_cell_angle_alpha 90.00
_cell_angle_beta 90.00
_cell_angle_gamma 111.17
loop_
_atom_site_label
_atom_site_type_symbol
_atom_site_fract_x
_atom_site_fract_y
_atom_site_fract_z
Sb1 Sb 0.000 0.000 0.542
Sb2 Sb 0.000 0.000 0.958
Au1 Au 0.500 0.500 0.750
Sr1 Sr 0.500 0.500 0.250
```

Values from the calculation:
Final energy (eV/cell): -14.3
Total magnetic moment (μB/f.u.): 0.0
Raw formation energy (meV per atom): -272

=====

(2)
NbVCuS4 | GGA-PBE | optimized geometry

CIF file:
```
data_NbVCuS4
_space_group_name_H-M_alt 'P 1'
_space_group_IT_number 1
_space_group_name_Hall 'P 1'
_cell_length_a 6.935
_cell_length_b 7.060
_cell_length_c 7.060
_cell_angle_alpha 62.38
_cell_angle_beta 60.58
_cell_angle_gamma 60.58
loop_
_atom_site_label
_atom_site_type_symbol
_atom_site_fract_x
_atom_site_fract_y
_atom_site_fract_z
Nb1 Nb 0.500 0.000 0.500
Nb2 Nb 0.000 0.000 0.500
S1 S 0.246 0.250 0.257
S2 S 0.246 0.757 0.750
S3 S 0.231 0.251 0.751
S4 S 0.767 0.251 0.751
S5 S 0.769 0.749 0.249
S6 S 0.754 0.750 0.743
S7 S 0.754 0.243 0.250
S8 S 0.233 0.749 0.249
V1 V 0.000 0.500 0.500
V2 V 0.000 0.000 0.000
Cu1 Cu 0.373 0.377 0.877
Cu2 Cu 0.627 0.623 0.123
```

Values from the calculation:
Final energy (eV/cell): -90.9
Total magnetic moment (μB/f.u.): 1.8
Raw formation energy (meV per atom): -807

=====

(3)
PmDy4Au2 | GGA-PBE | optimized geometry

CIF file:
```
data_PmDy4Au2
_space_group_name_H-M_alt 'P 1'
_space_group_IT_number 1
_space_group_name_Hall 'P 1'
_cell_length_a 4.884
_cell_length_b 4.884
_cell_length_c 10.739
_cell_angle_alpha 76.86
_cell_angle_beta 76.86
_cell_angle_gamma 60.00
loop_
_atom_site_label
_atom_site_type_symbol
_atom_site_fract_x
_atom_site_fract_y
_atom_site_fract_z
Pm1 Pm 0.500 0.500 0.500
Au1 Au 0.603 0.603 0.192
Au2 Au 0.397 0.397 0.808
Dy1 Dy 0.898 0.898 0.305
Dy2 Dy 0.701 0.701 0.897
Dy3 Dy 0.299 0.299 0.103
Dy4 Dy 0.102 0.102 0.695
```

Values from the calculation:
Final energy (eV/cell): -31.5
Energy of formation from the pure elements (eV per atom): -0.256
Total magnetic moment (μB/f.u.): 0.8